1.
# PBE-GGA Rb3ZrSe3, optimized geometry
# excess energy over the best structure of this formula in the dataset = 5 meV per atom
data_Rb3ZrSe3
_symmetry_space_group_name_H-M 'P 1 21/c 1'
_symmetry_Int_Tables_number 14
_cell_length_a 8.558
_cell_length_b 14.123
_cell_length_c 11.065
_cell_angle_alpha 90.00
_cell_angle_beta 127.07
_cell_angle_gamma 90.00
loop_
_symmetry_equiv_pos_as_xyz
'x,y,z'
'-x,-y,-z'
'-x,y+1/2,-z+1/2'
'x,-y+1/2,z+1/2'
loop_
_atom_site_label
_atom_site_fract_x
_atom_site_fract_y
_atom_site_fract_z
_atom_site_occupancy
Rb1 0.093 0.141 0.478 1
Rb2 0.137 0.071 0.894 1
Rb3 0.373 0.685 0.570 1
Zr1 0.442 0.053 0.350 1
Se1 0.140 0.163 0.189 1
Se2 0.342 0.619 0.870 1
Se3 0.366 0.539 0.260 1

2.
# PBE-GGA CeSm8Ho6, optimized geometry
# calculated formation energy = 188 kJ/mol of formula units
data_CeSm8Ho6
_symmetry_space_group_name_H-M 'R -3'
_symmetry_Int_Tables_number 148
_symmetry_space_group_name_Hall '-R 3'
_cell_length_a 9.0549
_cell_length_b 9.0549
_cell_length_c 20.7709
_cell_angle_alpha 90.00
_cell_angle_beta 90.00
_cell_angle_gamma 120.00
loop_
_atom_site_label
_atom_site_fract_x
_atom_site_fract_y
_atom_site_fract_z
_atom_site_occupancy
Ce1 0.0000 0.0000 0.0000 1
Sm1 0.0000 0.0000 0.4222 1
Sm2 0.0812 0.5204 0.8046 1
Ho1 0.0498 0.8051 0.7069 1

3.
# PBE-GGA Tl2AsPt, optimized geometry
# excess energy over the best structure of this formula in the dataset = 0 meV per atom
# calculated formation energy = -71 kJ/mol of formula units
data_Tl2AsPt
_symmetry_space_group_name_H-M 'C 1 m 1'
_symmetry_Int_Tables_number 8
_cell_length_a 7.339
_cell_length_b 4.244
_cell_length_c 7.464
_cell_angle_alpha 90.00
_cell_angle_beta 108.92
_cell_angle_gamma 90.00
loop_
_symmetry_equiv_pos_as_xyz
'x,y,z'
'x,-y,z'
'x+1/2,y+1/2,z'
'x+1/2,-y+1/2,z'
loop_
_atom_site_label
_atom_site_fract_x
_atom_site_fract_y
_atom_site_fract_z
_atom_site_occupancy
Tl1 0.000 0.000 0.000 1
Tl2 0.204 0.000 0.613 1
As1 0.267 0.500 0.301 1
Pt1 0.437 0.000 0.314 1

V / Å³ per atom: 38.1; 32.8; 27.5
Density of states at the Fermi level / states/eV per atom: 0.230; 1.729; 0.395